Entry 1:
Tl2In7Ga2: relaxed, GGA-PBE.

formation enthalpy at 0 K: 4.88 kJ/mol of atoms
magnetic moment: 0.000 μB/atom

Lattice parameters (Å, degrees): 6.992 6.992 6.468 101.59 101.59 99.11
Positions (direct):
Tl  0.587  0.587  0.793
Tl  0.413  0.413  0.207
In  0.913  0.432  0.183
In  0.568  0.087  0.817
In  0.087  0.568  0.817
In  0.432  0.913  0.183
In  0.000  0.000  0.000
In  0.817  0.817  0.462
In  0.183  0.183  0.538
Ga  0.247  0.753  0.500
Ga  0.753  0.247  0.500



Entry 2:
Tl17In11Ga: relaxed, GGA-PBE.

formation enthalpy at 0 K: 1.26 kJ/mol of atoms
magnetic moment: 0.000 μB/atom

Lattice parameters (Å, degrees): 10.374 10.374 10.373 109.62 109.62 109.51
Positions (direct):
Tl  0.996  0.996  0.360
Tl  0.670  0.670  0.280
Tl  0.640  0.640  0.640
Tl  0.391  0.391  0.710
Tl  0.001  0.001  0.001
Tl  0.319  0.603  0.998
Tl  0.394  0.710  0.391
Tl  0.000  0.320  0.602
Tl  0.002  0.361  0.002
Tl  0.286  0.681  0.679
Tl  0.603  0.998  0.320
Tl  0.998  0.603  0.320
Tl  0.681  0.286  0.679
Tl  0.361  0.002  0.002
Tl  0.320  0.000  0.602
Tl  0.710  0.394  0.391
Tl  0.603  0.319  0.998
In  0.202  0.202  0.845
In  0.632  0.811  0.998
In  0.181  0.367  0.361
In  0.820  0.004  0.634
In  0.636  0.001  0.812
In  0.819  0.186  0.188
In  0.186  0.819  0.188
In  0.001  0.636  0.812
In  0.004  0.820  0.634
In  0.367  0.181  0.361
In  0.811  0.632  0.998
Ga  0.368  0.368  0.191



Entry 3:
TlIn8Ga2: relaxed, GGA-PBE.

formation enthalpy at 0 K: 6.89 kJ/mol of atoms
magnetic moment: 0.000 μB/atom

Lattice parameters (Å, degrees): 5.264 8.173 8.173 114.59 101.16 101.16
Positions (direct):
Tl  0.500  0.000  0.000
Ga  0.000  0.678  0.322
Ga  0.000  0.322  0.678
In  0.110  0.078  0.323
In  0.110  0.323  0.078
In  0.328  0.613  0.613
In  0.500  0.235  0.765
In  0.500  0.765  0.235
In  0.672  0.387  0.387
In  0.890  0.677  0.922
In  0.890  0.922  0.677



Entry 4:
Tl2In2Ga: relaxed, GGA-PBE.

formation enthalpy at 0 K: 3.88 kJ/mol of atoms
magnetic moment: 0.000 μB/atom
energy relative to the lowest polymorph listed for this composition: 0.0 meV/atom

Lattice parameters (Å, degrees): 3.414 3.414 13.663 82.82 82.82 60.00
Positions (direct):
Tl  0.872  0.872  0.384
Tl  0.128  0.128  0.616
In  0.392  0.392  0.824
In  0.608  0.608  0.176
Ga  0.000  0.000  0.000



Entry 5:
Tl2InGa2: relaxed, GGA-PBE.

formation enthalpy at 0 K: 14.92 kJ/mol of atoms
magnetic moment: 0.000 μB/atom
energy relative to the lowest polymorph listed for this composition: 93.5 meV/atom

Lattice parameters (Å, degrees): 8.886 8.886 3.364 90.00 90.00 90.00
Positions (direct):
Tl  0.354  0.854  0.000
Tl  0.854  0.646  0.000
Tl  0.646  0.146  0.000
Tl  0.146  0.354  0.000
Ga  0.154  0.654  0.500
Ga  0.654  0.846  0.500
Ga  0.846  0.346  0.500
Ga  0.346  0.154  0.500
In  0.000  0.000  0.000
In  0.500  0.500  0.000



Entry 6:
Tl4In4Ga: relaxed, GGA-PBE.

formation enthalpy at 0 K: 4.83 kJ/mol of atoms
magnetic moment: 0.000 μB/atom

Lattice parameters (Å, degrees): 3.724 8.474 8.474 87.23 77.31 77.31
Positions (direct):
Tl  0.508  0.164  0.321
Tl  0.492  0.836  0.679
Tl  0.171  0.821  0.336
Tl  0.829  0.179  0.664
In  0.163  0.181  0.993
In  0.837  0.819  0.007
In  0.844  0.493  0.319
In  0.156  0.507  0.681
Ga  0.500  0.500  0.000



Taking the records one at a time from the top gives energy values of -2.673, -2.517, -2.686, -2.607, -2.550, -2.555 eV/atom.